1.
Material: AcMgGe2Pd5
Method: DFT, GGA-PBE
State: optimized geometry

Values from the calculation:
Calculated formation energy in eV per atom: -0.575
Total magnetization in μB/cell: 0.00

```
9
Lattice="4.381 0.000 0.000 0.000 4.381 0.000 0.000 0.000 8.961" Properties=species:S:1:pos:R:3 pbc="T T T"
Ac 0.000 0.000 4.481
Mg 0.000 0.000 0.000
Ge 2.191 2.191 1.194
Ge 2.191 2.191 7.767
Pd 0.000 2.191 2.302
Pd 2.191 0.000 2.302
Pd 0.000 2.191 6.660
Pd 2.191 0.000 6.660
Pd 2.191 2.191 4.481
```

***

2.
Material: AcMgGePt6
Method: DFT, GGA-PBE
State: optimized geometry

Values from the calculation:
Calculated formation energy in eV per atom: -0.413
Total magnetization in μB/cell: 0.00

```
18
Lattice="-6.258 1.818 2.549 -4.002 -2.218 -8.243 4.331 -5.089 4.658" Properties=species:S:1:pos:R:3 pbc="T T T"
Ac -4.659 -3.152 0.414
Ac -1.270 -2.337 -1.450
Mg -0.963 -1.636 3.603
Mg 2.166 -2.545 2.329
Ge -5.130 -0.200 -2.847
Ge -3.129 0.909 1.275
Pt -1.685 -5.087 -0.509
Pt -2.782 -2.869 4.818
Pt -5.045 0.130 2.562
Pt -3.613 -2.068 -3.228
Pt -1.503 -0.899 1.118
Pt -7.156 -1.039 -1.785
Pt -4.244 -0.402 -0.527
Pt -3.146 -2.621 -5.854
Pt -0.883 -5.620 -3.598
Pt -2.316 -3.421 2.192
Pt -4.426 -4.591 -2.154
Pt 1.227 -4.450 0.749
```